Entry w
Here is an optimized crystal structure of Ca2MoCl from Alexandria. Energies are from PBE.

Properties
DOS(E_F) = 4.02 states/eV per cell

a = 8.449 Å, b = 5.532 Å, c = 3.184 Å
α = 89.93°, β = 67.97°, γ = 130.98°
Last column: magnetic moment on the atom in μB.
Fractional coordinates of all 4 atoms:
Ca  0.500  0.000  0.500  0.00
Ca  0.000  0.000  0.000  0.00
Mo  0.500  0.500  0.000  1.30
Cl  0.000  0.500  0.500  0.03

=====

Entry x
Here is an optimized crystal structure of Ca2MoCl from Alexandria. Energies are from PBE.

Properties
DOS(E_F) = 3.24 states/eV per cell

a = 5.297 Å, b = 5.297 Å, c = 5.297 Å
α = 60.00°, β = 60.00°, γ = 60.00°
Last column: magnetic moment on the atom in μB.
Fractional coordinates of all 4 atoms:
Ca  0.000  0.000  0.000  0.03
Cl  0.500  0.500  0.500  0.04
Ca  0.250  0.250  0.250  -0.10
Mo  0.750  0.750  0.750  2.61

=====

Entry y
Here is an optimized crystal structure of Ca2MoCl from Alexandria. Energies are from PBE.

Properties
DOS(E_F) = 3.50 states/eV per cell

a = 6.357 Å, b = 6.357 Å, c = 6.357 Å
α = 151.23°, β = 130.75°, γ = 58.04°
Last column: magnetic moment on the atom in μB.
Fractional coordinates of all 4 atoms:
Mo  0.713  0.213  0.500  0.52
Cl  0.523  0.523  0.000  0.01
Ca  0.285  0.785  0.500  -0.01
Ca  0.978  0.978  0.000  0.00

=====

Most stable structure - entry w; separation to the second - 43 meV per atom.

=====

Entry w
Here is an optimized crystal structure of CaMo3Cl from Alexandria. Energies are from PBE.

Properties
DOS(E_F) = 5.71 states/eV per cell

a = 4.544 Å, b = 4.544 Å, c = 4.544 Å
α = 90.00°, β = 90.00°, γ = 90.00°
Fractional coordinates of all 5 atoms:
Cl  0.000  0.000  0.000
Ca  0.500  0.500  0.500
Mo  0.500  0.000  0.000
Mo  0.000  0.000  0.500
Mo  0.000  0.500  0.000

=====

Entry x
Here is an optimized crystal structure of CaMo3Cl from Alexandria. Energies are from PBE.

Properties
DOS(E_F) = 8.15 states/eV per cell

a = 4.789 Å, b = 4.789 Å, c = 4.789 Å
α = 90.00°, β = 90.00°, γ = 90.00°
Fractional coordinates of all 5 atoms:
Mo  0.500  0.000  0.000
Mo  0.000  0.000  0.500
Cl  0.500  0.500  0.500
Ca  0.000  0.000  0.000
Mo  0.000  0.500  0.000

=====

Most stable structure - entry w; separation to the second - 2039 meV per atom.

=====

Entry w
Here is an optimized crystal structure of CaMoCl from Alexandria. Energies are from PBE.

Properties
DOS(E_F) = 2.79 states/eV per cell

a = 3.343 Å, b = 3.343 Å, c = 6.450 Å
α = 90.00°, β = 90.00°, γ = 120.00°
Last column: magnetic moment on the atom in μB.
Fractional coordinates of all 3 atoms:
Cl  0.667  0.333  0.355  0.01
Mo  0.333  0.667  0.637  0.78
Ca  0.000  0.000  0.007  -0.01

=====

Entry x
Here is an optimized crystal structure of CaMoCl from Alexandria. Energies are from PBE.

Properties
DOS(E_F) = 1.35 states/eV per cell

a = 4.874 Å, b = 4.874 Å, c = 4.874 Å
α = 60.00°, β = 60.00°, γ = 60.00°
Last column: magnetic moment on the atom in μB.
Fractional coordinates of all 3 atoms:
Mo  0.000  0.000  0.000  3.66
Cl  0.750  0.750  0.750  0.10
Ca  0.500  0.500  0.500  0.09

=====

Most stable structure - entry w; separation to the second - 487 meV per atom.

=====

Entry w
Here is an optimized crystal structure of CaMoCl from Alexandria. Energies are from PBE.

Properties
DOS(E_F) = 2.08 states/eV per cell

a = 5.202 Å, b = 5.202 Å, c = 5.202 Å
α = 60.00°, β = 60.00°, γ = 60.00°
Last column: magnetic moment on the atom in μB.
Fractional coordinates of all 3 atoms:
Mo  0.500  0.500  0.500  3.79
Cl  0.000  0.000  0.000  0.08
Ca  0.750  0.750  0.750  0.10

=====

Entry x
Here is an optimized crystal structure of CaMoCl from Alexandria. Energies are from PBE.

Properties
DOS(E_F) = 2.79 states/eV per cell

a = 4.514 Å, b = 4.514 Å, c = 3.620 Å
α = 90.00°, β = 90.00°, γ = 120.00°
Last column: magnetic moment on the atom in μB.
Fractional coordinates of all 3 atoms:
Cl  0.667  0.333  0.500  0.03
Mo  0.333  0.667  0.500  1.98
Ca  0.000  0.000  0.000  0.06

=====

Entry y
Here is an optimized crystal structure of CaMoCl from Alexandria. Energies are from PBE.

Properties
DOS(E_F) = 1.04 states/eV per cell

a = 7.828 Å, b = 7.829 Å, c = 3.023 Å
α = 78.86°, β = 78.88°, γ = 22.26°
Fractional coordinates of all 3 atoms:
Mo  0.352  0.352  0.648
Ca  0.018  0.018  0.982
Cl  0.630  0.630  0.370

=====

Most stable structure - entry y; separation to the second - 260 meV per atom.

=====

Entry w
Here is an optimized crystal structure of CaMoP2Cl from Alexandria. Energies are from PBE.

Properties
DOS(E_F) = 4.03 states/eV per cell

a = 4.663 Å, b = 4.663 Å, c = 5.130 Å
α = 90.00°, β = 90.00°, γ = 90.00°
Fractional coordinates of all 5 atoms:
Mo  0.000  0.000  0.000
Cl  0.000  0.000  0.500
P  0.000  0.500  0.000
Ca  0.500  0.500  0.500
P  0.500  0.000  0.000

=====

Entry x
Here is an optimized crystal structure of CaMoP2Cl from Alexandria. Energies are from PBE.

Properties
DOS(E_F) = 4.31 states/eV per cell

a = 5.278 Å, b = 5.278 Å, c = 4.972 Å
α = 90.00°, β = 90.00°, γ = 90.00°
Last column: magnetic moment on the atom in μB.
Fractional coordinates of all 5 atoms:
Cl  0.000  0.000  0.500  -0.07
P  0.000  0.500  0.000  -0.29
Ca  0.000  0.000  0.000  -0.01
Mo  0.500  0.500  0.500  3.63
P  0.500  0.000  0.000  -0.29

=====

Most stable structure - entry w; separation to the second - 1407 meV per atom.

=====

Entry w
Here is an optimized crystal structure of CaMoS2Cl from Alexandria. Energies are from PBE.

Properties
DOS(E_F) = 3.02 states/eV per cell

a = 4.688 Å, b = 4.688 Å, c = 5.033 Å
α = 90.00°, β = 90.00°, γ = 90.00°
Last column: magnetic moment on the atom in μB.
Fractional coordinates of all 5 atoms:
Ca  0.500  0.500  0.500  0.00
S  0.500  0.000  0.000  0.00
S  0.000  0.500  0.000  0.00
Cl  0.000  0.000  0.500  0.00
Mo  0.000  0.000  0.000  0.11

=====

Entry x
Here is an optimized crystal structure of CaMoS2Cl from Alexandria. Energies are from PBE.

Properties
DOS(E_F) = 2.83 states/eV per cell

a = 5.273 Å, b = 5.273 Å, c = 4.998 Å
α = 90.00°, β = 90.00°, γ = 90.00°
Last column: magnetic moment on the atom in μB.
Fractional coordinates of all 5 atoms:
S  0.500  0.000  0.000  -0.43
S  0.000  0.500  0.000  -0.43
Ca  0.000  0.000  0.000  0.00
Cl  0.000  0.000  0.500  -0.02
Mo  0.500  0.500  0.500  3.69

=====

Most stable structure - entry w; separation to the second - 1046 meV per atom.

=====

Entry w
Here is an optimized crystal structure of Ca3NCl from Alexandria. Energies are from PBE.

Properties
DOS(E_F) = 2.85 states/eV per cell

a = 4.944 Å, b = 4.944 Å, c = 4.944 Å
α = 90.00°, β = 90.00°, γ = 90.00°
Fractional coordinates of all 5 atoms:
Ca  0.000  0.500  0.000
Ca  0.000  0.000  0.500
Ca  0.500  0.000  0.000
N  0.000  0.000  0.000
Cl  0.500  0.500  0.500

=====

Entry x
Here is an optimized crystal structure of Ca3NCl from Alexandria. Energies are from PBE.

Properties
DOS(E_F) = 4.24 states/eV per cell

a = 3.859 Å, b = 7.378 Å, c = 9.736 Å
α = 90.00°, β = 90.00°, γ = 74.76°
Fractional coordinates of all 10 atoms:
Ca  0.602  0.796  0.802
N  0.000  0.000  0.750
Cl  0.255  0.499  0.500
Ca  0.951  0.098  0.000
Ca  0.398  0.204  0.302
Ca  0.049  0.902  0.500
Ca  0.602  0.796  0.198
Ca  0.398  0.204  0.698
N  0.000  0.000  0.250
Cl  0.745  0.501  0.000

=====

Most stable structure - entry x; separation to the second - 135 meV per atom.

=====

Entry w
Here is an optimized crystal structure of Ca4N2Cl5 from Alexandria. Energies are from PBE.

Properties
DOS(E_F) = 2.17 states/eV per cell

a = 3.901 Å, b = 7.375 Å, c = 9.393 Å
α = 113.12°, β = 101.98°, γ = 90.00°
Last column: magnetic moment on the atom in μB.
Fractional coordinates of all 11 atoms:
Cl  0.834  0.597  0.668  0.01
Cl  0.834  0.070  0.668  0.01
Ca  0.323  0.323  0.647  0.01
Cl  0.500  0.000  0.000  0.00
N  0.460  0.460  0.920  0.27
N  0.540  0.540  0.080  0.27
Ca  0.677  0.677  0.353  0.01
Ca  0.000  0.713  0.000  0.02
Ca  0.000  0.287  0.000  0.02
Cl  0.166  0.403  0.332  0.01
Cl  0.166  0.930  0.332  0.01

=====

Entry x
Here is an optimized crystal structure of Ca4N2Cl5 from Alexandria. Energies are from PBE.

Properties
DOS(E_F) = 2.36 states/eV per cell

a = 3.852 Å, b = 7.525 Å, c = 9.226 Å
α = 105.53°, β = 102.05°, γ = 90.00°
Last column: magnetic moment on the atom in μB.
Fractional coordinates of all 11 atoms:
Ca  0.999  0.286  0.999  0.02
Cl  0.161  0.869  0.322  0.01
N  0.539  0.524  0.077  0.27
Cl  0.839  0.131  0.678  0.01
Ca  0.001  0.714  0.001  0.02
Cl  0.500  0.000  0.000  0.00
Cl  0.169  0.357  0.338  0.01
Cl  0.831  0.643  0.662  0.01
Ca  0.331  0.375  0.661  0.01
N  0.461  0.476  0.923  0.27
Ca  0.669  0.625  0.339  0.01

=====

Most stable structure - entry x; separation to the second - 7 meV per atom.